1.
Entry from Alexandria: a relaxed structure of Ca2TlCo (PBE).

abc: 6.208 6.208 5.195
angles: 65.29 65.29 34.09
Each line ends with the local moment (μB).
Positions (direct):
Tl: 0.202 0.202 0.298  -0.01
Co: 0.520 0.520 0.480  1.15
Ca: 0.989 0.989 0.011  -0.05
Ca: 0.789 0.789 0.711  -0.03

Output
Its energy of formation is 0.088 eV/atom.

=====

2.
Entry from Alexandria: a relaxed structure of AcHfAs2 (PBE).

abc: 3.565 5.179 5.179
angles: 90.00 90.00 90.00
Positions (direct):
Ac: 0.500 0.000 0.000
Hf: 0.500 0.500 0.500
As: 0.000 0.000 0.500
As: 0.000 0.500 0.000

Output
Its energy of formation is -0.578 eV/atom. For the distance to the lowest polymorph of the same formula, the calculation gives 600 meV per atom.

=====

3.
Entry from Alexandria: a relaxed structure of AsIrBr2 (PBE).

abc: 4.779 4.779 4.779
angles: 60.00 60.00 60.00
Positions (direct):
As: 0.500 0.500 0.500
Ir: 0.250 0.250 0.250
Br: 0.000 0.000 0.000
Br: 0.750 0.750 0.750

Output
Its formation energy from raw total energies is 897 meV per atom. For the distance to the lowest polymorph of the same formula, the calculation gives 1203 meV per atom.

=====

4.
Entry from Alexandria: a relaxed structure of NdMgHgIr (PBE).

abc: 4.972 4.972 4.972
angles: 60.00 60.00 60.00
Positions (direct):
Mg: 0.000 0.000 0.000
Ir: 0.250 0.250 0.250
Nd: 0.500 0.500 0.500
Hg: 0.750 0.750 0.750

Output
Its energy of formation is -0.323 eV/atom.

=====

5.
Entry from Alexandria: a relaxed structure of Ba2ScW (PBE).

abc: 5.012 5.012 8.847
angles: 87.57 87.57 38.35
Positions (direct):
Ba: 0.991 0.991 0.071
Ba: 0.754 0.754 0.678
Sc: 0.510 0.510 0.420
W: 0.245 0.245 0.330

Output
Its energy of formation is 0.822 eV/atom. For the distance to the lowest polymorph of the same formula, the calculation gives 134 meV per atom.

=====

6.
Entry from Alexandria: a relaxed structure of NaSbH2F8 (PBE).

abc: 4.907 4.977 6.999
angles: 96.67 89.92 75.01
Positions (direct):
Na: 0.000 0.000 0.500
Sb: 0.000 0.000 0.000
H: 0.278 0.439 0.665
H: 0.722 0.561 0.335
F: 0.214 0.807 0.196
F: 0.755 0.761 0.000
F: 0.779 0.247 0.214
F: 0.786 0.193 0.804
F: 0.245 0.239 0.000
F: 0.221 0.753 0.786
F: 0.710 0.705 0.442
F: 0.290 0.295 0.558

=====

7.
Entry from Alexandria: a relaxed structure of VZn2Ru (PBE).

abc: 6.967 6.967 5.529
angles: 50.95 50.95 90.00
Each line ends with the local moment (μB).
Positions (direct):
Ru: 0.000 0.000 0.000  0.37
Ru: 0.750 0.250 0.500  0.37
Zn: 0.631 0.125 0.250  0.01
Zn: 0.119 0.625 0.250  0.01
Zn: 0.375 0.369 0.750  0.01
Zn: 0.875 0.881 0.750  0.01
V: 0.500 0.500 0.000  1.33
V: 0.250 0.750 0.500  1.33

Output
Its energy of formation is 0.444 eV/atom. For the distance to the lowest polymorph of the same formula, the calculation gives 359 meV per atom.

=====

8.
Entry from Alexandria: a relaxed structure of Ca14MgAl (PBE).

abc: 7.942 7.942 9.602
angles: 90.00 90.00 90.19
Positions (direct):
Ca: 0.382 0.618 0.500
Ca: 0.868 0.132 0.500
Ca: 0.891 0.649 0.000
Ca: 0.870 0.621 0.500
Ca: 0.351 0.109 0.000
Ca: 0.379 0.130 0.500
Ca: 0.630 0.882 0.778
Ca: 0.630 0.882 0.222
Ca: 0.118 0.370 0.778
Ca: 0.118 0.370 0.222
Ca: 0.120 0.880 0.757
Ca: 0.120 0.880 0.243
Ca: 0.632 0.368 0.794
Ca: 0.632 0.368 0.206
Mg: 0.368 0.632 0.000
Al: 0.889 0.111 0.000

Output
Its energy of formation is -0.004 eV/atom.

=====

Number 1: final energy -3.281 eV per atom. Number 2: final energy -6.418 eV per atom. Number 3: final energy -3.317 eV per atom. Number 4: final energy -4.204 eV per atom. Number 5: final energy -4.960 eV per atom. Number 6: final energy -4.438 eV per atom. Number 7: final energy -4.791 eV per atom. Number 8: final energy -2.089 eV per atom.